# 1
Material: LaPr2SmEr5
Method: DFT, GGA-PBE
State: optimized geometry

formation energy from the elements = 0.25 eV per atom
total magnetic moment = 0.0 μB per cell
calculated volume = 597.2 Å³/cell
density = 7.8 g/cm3

abc: 9.970 9.970 9.970
angles: 128.03 128.03 76.57
Sites, in units of the cell vectors:
La: 0.250 0.250 0.000
La: 0.750 0.750 0.000
Pr: 0.118 0.618 0.736
Pr: 0.382 0.118 0.500
Pr: 0.618 0.882 0.500
Pr: 0.882 0.382 0.264
Sm: 0.250 0.750 0.500
Sm: 0.750 0.250 0.500
Er: 0.000 0.000 0.000
Er: 0.072 0.153 0.500
Er: 0.153 0.653 0.081
Er: 0.347 0.428 0.500
Er: 0.428 0.928 0.081
Er: 0.500 0.500 0.000
Er: 0.572 0.072 0.919
Er: 0.653 0.572 0.500
Er: 0.847 0.347 0.919
Er: 0.928 0.847 0.500


# 2
Material: Sm2TmScS6
Method: DFT, GGA-PBE
State: optimized geometry

total magnetic moment = 0.0 μB per cell
calculated volume = 248.0 Å³/cell
density = 4.7 g/cm3
ΔE_f (raw) = -1.994 eV/atom

abc: 7.237 7.237 7.237
angles: 56.76 56.76 56.76
Sites, in units of the cell vectors:
Sm: 0.000 0.000 0.000
Sm: 0.499 0.499 0.499
Tm: 0.204 0.204 0.204
Sc: 0.703 0.703 0.703
S: 0.072 0.822 0.429
S: 0.329 0.584 0.916
S: 0.429 0.072 0.822
S: 0.584 0.916 0.329
S: 0.822 0.429 0.072
S: 0.916 0.329 0.584


# 3
Material: PmNpP2O8
Method: DFT, GGA-PBE
State: optimized geometry

total magnetic moment = 4.0 μB per cell
calculated volume = 178.5 Å³/cell
density = 5.3 g/cm3
ΔE_f (raw) = -2.683 eV/atom

abc: 5.317 5.317 7.291
angles: 90.00 90.00 120.00
Sites, in units of the cell vectors:
Pm: 0.000 0.000 0.000
Np: 0.000 0.000 0.500
P: 0.333 0.667 0.304
P: 0.667 0.333 0.696
O: 0.175 0.350 0.230
O: 0.175 0.825 0.230
O: 0.333 0.667 0.513
O: 0.350 0.175 0.770
O: 0.650 0.825 0.230
O: 0.667 0.333 0.487
O: 0.825 0.175 0.770
O: 0.825 0.650 0.770


# 4
Material: SbBrCl
Method: DFT, GGA-PBE
State: optimized geometry

polymorph energy (0 for the lowest one) = 198 meV/atom
total magnetic moment = 0.0 μB per cell
calculated volume = 400.2 Å³/cell
density = 3.9 g/cm3
ΔE_f (raw) = -0.391 eV/atom

abc: 3.824 6.740 15.528
angles: 90.00 90.00 90.00
Sites, in units of the cell vectors:
Sb: 0.000 0.000 0.000
Sb: 0.000 0.500 0.500
Sb: 0.500 0.000 0.500
Sb: 0.500 0.500 0.000
Br: 0.000 0.000 0.365
Br: 0.000 0.500 0.865
Br: 0.500 0.000 0.865
Br: 0.500 0.500 0.365
Cl: 0.000 0.000 0.623
Cl: 0.000 0.500 0.123
Cl: 0.500 0.000 0.123
Cl: 0.500 0.500 0.623